Record 1
Ca2ScMnNb | PBEsol | optimized geometry

Calculated formation energy = 1195.1 meV per atom
Total energy = -0.3745 Ry per atom
DOS at the Fermi energy = 4.6 states/eV/cell

a = 4.8741 Å, b = 5.5117 Å, c = 5.5117 Å
α = 90.00°, β = 90.00°, γ = 90.00°
Each line ends with the local moment (μB).
Positions (direct):
Sc  0.5000  0.0000  0.0000  -0.04
Mn  0.5000  0.5000  0.5000  4.31
Ca  0.0000  0.0000  0.5000  0.02
Ca  0.0000  0.5000  0.0000  0.02
Nb  0.0000  0.0000  0.0000  0.39



Record 2
Ca2Nd2MnNiO8 | PBEsol | optimized geometry

Total energy = -0.5696 Ry per atom
Formation energy without anion corrections = -35.99 eV/f.u.
DOS at the Fermi energy = 4.6 states/eV/cell

a = 5.3466 Å, b = 5.3466 Å, c = 11.7311 Å
α = 90.00°, β = 90.00°, γ = 90.05°
Each line ends with the local moment (μB).
Positions (direct):
O  0.4683  0.9683  0.8347  0.01
O  0.4682  0.5318  0.3277  0.00
O  0.7500  0.2500  0.4822  0.00
O  0.2500  0.7500  0.5178  0.00
O  0.7500  0.7500  0.0000  0.07
O  0.9683  0.4683  0.1653  0.01
O  0.5317  0.0317  0.1653  0.01
O  0.9682  0.0318  0.6723  0.00
O  0.0317  0.5317  0.8347  0.01
O  0.2500  0.2500  0.5000  0.00
O  0.2500  0.7500  0.0192  0.07
O  0.0318  0.9682  0.3277  0.00
O  0.2500  0.2500  0.0000  0.07
O  0.7500  0.7500  0.5000  0.00
O  0.5318  0.4682  0.6723  0.00
O  0.7500  0.2500  0.9808  0.07
Nd  0.4894  0.9894  0.3568  0.00
Nd  0.9894  0.4894  0.6432  0.00
Nd  0.0106  0.5106  0.3568  0.00
Nd  0.5106  0.0106  0.6432  0.00
Ni  0.5000  0.5000  0.5000  -0.01
Ni  0.0000  0.0000  0.5000  -0.01
Ca  0.5129  0.4871  0.1356  0.01
Ca  0.0129  0.9871  0.8644  0.01
Ca  0.4871  0.5129  0.8644  0.01
Ca  0.9871  0.0129  0.1356  0.01
Mn  0.5000  0.0000  0.0000  3.01
Mn  0.0000  0.5000  0.0000  3.01



Record 3
CaNdMn2O6 | PBEsol | optimized geometry

Total energy = -0.6119 Ry per atom
Formation energy without anion corrections = -24.93 eV/f.u.
DOS at the Fermi energy = 10.7 states/eV/cell

a = 5.3365 Å, b = 5.3736 Å, c = 22.6700 Å
α = 89.97°, β = 90.00°, γ = 89.99°
Each line ends with the local moment (μB).
Positions (direct):
O  0.9337  0.4903  0.9166  0.04
O  0.7894  0.2121  0.4882  0.06
O  0.7833  0.2159  0.8198  0.06
O  0.7120  0.7120  0.8219  0.06
O  0.2813  0.2825  0.5137  0.05
O  0.2205  0.7802  0.1810  0.05
O  0.5685  0.9866  0.5825  0.06
O  0.2152  0.7857  0.5118  0.05
O  0.7116  0.7110  0.3451  0.07
O  0.7884  0.2112  0.3449  0.07
O  0.2857  0.2874  0.6530  0.06
O  0.7151  0.7161  0.4872  0.07
O  0.7106  0.7101  0.0115  0.07
O  0.2158  0.7862  0.6540  0.07
O  0.2795  0.2796  0.9866  0.05
O  0.5661  0.9922  0.2509  0.04
O  0.9272  0.4910  0.5825  0.06
O  0.0751  0.5189  0.0841  0.08
O  0.9342  0.4928  0.2509  0.04
O  0.0762  0.5170  0.4169  0.08
O  0.2790  0.2789  0.3201  0.04
O  0.0693  0.5161  0.7490  0.06
O  0.2801  0.2803  0.1810  0.05
O  0.4251  0.0207  0.4169  0.08
O  0.7175  0.7188  0.6784  0.06
O  0.2208  0.7793  0.3204  0.04
O  0.2826  0.2827  0.8457  0.05
O  0.4251  0.0187  0.0841  0.08
O  0.7127  0.7126  0.1561  0.07
O  0.7889  0.2103  0.0116  0.07
O  0.2211  0.7793  0.8469  0.05
O  0.4268  0.0124  0.7490  0.06
O  0.2195  0.7805  0.9865  0.05
O  0.7877  0.2126  0.1561  0.07
O  0.7838  0.2179  0.6789  0.05
O  0.5674  0.9932  0.9166  0.04
Mn  0.5006  0.0006  0.1655  3.16
Mn  0.9994  0.5000  0.3365  3.10
Mn  0.9995  0.5022  0.4985  3.07
Mn  0.5008  0.0006  0.4985  3.07
Mn  0.9999  0.5007  0.1655  3.16
Mn  0.9996  0.5007  0.8317  3.23
Mn  0.5008  0.0003  0.0030  3.20
Mn  0.9990  0.4998  0.0030  3.20
Mn  0.5003  0.9993  0.8316  3.22
Mn  0.0007  0.5035  0.6648  3.15
Mn  0.5010  0.0005  0.3365  3.11
Mn  0.4999  0.9994  0.6650  3.15
Ca  0.9907  0.9614  0.0846  0.01
Ca  0.5094  0.4615  0.4188  0.01
Ca  0.5096  0.4613  0.0847  0.01
Ca  0.9913  0.9618  0.7475  0.01
Ca  0.9917  0.9604  0.4179  0.01
Ca  0.4919  0.5413  0.5802  0.01
Nd  0.0076  0.0373  0.9173  0.03
Nd  0.0067  0.0372  0.2511  0.03
Nd  0.4930  0.5375  0.9180  0.03
Nd  0.4937  0.5372  0.2512  0.03
Nd  0.0077  0.0397  0.5815  0.03
Nd  0.5082  0.4627  0.7472  0.03



Record 4
Ca3NdMn4O12 | PBEsol | optimized geometry

Total energy = -0.5948 Ry per atom
Formation energy without anion corrections = -48.26 eV/f.u.
DOS at the Fermi energy = 3.3 states/eV/cell

a = 5.2859 Å, b = 5.3231 Å, c = 7.4748 Å
α = 90.00°, β = 90.00°, γ = 89.99°
Each line ends with the local moment (μB).
Positions (direct):
Ca  0.0089  0.9621  0.0000  0.01
Ca  0.9918  0.0399  0.5000  0.01
Ca  0.4925  0.4594  0.0000  0.01
Mn  0.4997  0.0014  0.2464  2.89
Mn  0.0007  0.5002  0.7540  2.90
Mn  0.0007  0.5002  0.2460  2.90
Mn  0.4997  0.0014  0.7536  2.89
O  0.7146  0.2852  0.2837  0.06
O  0.7829  0.7830  0.7077  0.05
O  0.2907  0.7100  0.2162  0.06
O  0.2137  0.2141  0.2114  0.07
O  0.7146  0.2852  0.7163  0.06
O  0.4288  0.9955  0.5000  0.05
O  0.2907  0.7100  0.7838  0.06
O  0.9270  0.5214  0.0000  0.07
O  0.2137  0.2141  0.7886  0.07
O  0.7829  0.7830  0.2923  0.05
O  0.5746  0.0112  0.0000  0.07
O  0.0646  0.4853  0.5000  0.05
Nd  0.5070  0.5375  0.5000  0.03



Record 5
CaNd2Mn3O9 | PBEsol | optimized geometry

Total energy = -0.6229 Ry per atom
Formation energy without anion corrections = -38.14 eV/f.u.
DOS at the Fermi energy = 9.2 states/eV/cell

a = 5.3644 Å, b = 7.5999 Å, c = 16.2558 Å
α = 90.00°, β = 90.00°, γ = 90.00°
Each line ends with the local moment (μB).
Positions (direct):
O  0.2209  0.5424  0.4060  0.05
O  0.5744  0.7500  0.6705  0.06
O  0.7112  0.0411  0.7622  0.06
O  0.7136  0.0340  0.4292  0.06
O  0.2888  0.5411  0.2378  0.06
O  0.7209  0.4576  0.0940  0.05
O  0.7864  0.4660  0.9292  0.06
O  0.0689  0.2500  0.4959  0.06
O  0.2136  0.9660  0.0707  0.06
O  0.2888  0.9589  0.2378  0.06
O  0.7888  0.0411  0.2622  0.06
O  0.0762  0.2500  0.1605  0.05
O  0.2791  0.9576  0.9060  0.05
O  0.5689  0.7500  0.0041  0.06
O  0.7791  0.4576  0.5940  0.05
O  0.9256  0.7500  0.1705  0.06
O  0.7112  0.4589  0.7622  0.06
O  0.0744  0.2500  0.8295  0.06
O  0.7888  0.4589  0.2622  0.06
O  0.2791  0.5424  0.9060  0.05
O  0.7864  0.0340  0.9292  0.06
O  0.4238  0.2500  0.6605  0.05
O  0.7209  0.0424  0.0940  0.05
O  0.7136  0.4660  0.4292  0.06
O  0.4256  0.2500  0.3295  0.06
O  0.7791  0.0424  0.5940  0.05
O  0.4311  0.2500  0.9959  0.06
O  0.2112  0.9589  0.7378  0.06
O  0.2209  0.9576  0.4060  0.05
O  0.2864  0.9660  0.5708  0.06
O  0.9238  0.7500  0.8395  0.05
O  0.9311  0.7500  0.5041  0.06
O  0.2136  0.5340  0.0707  0.06
O  0.2864  0.5340  0.5708  0.06
O  0.2112  0.5411  0.7378  0.06
O  0.5762  0.7500  0.3395  0.05
Mn  0.0025  0.5010  0.1671  3.31
Mn  0.0000  0.5000  0.5000  3.31
Mn  0.5025  0.0010  0.3329  3.31
Mn  0.4975  0.9990  0.6671  3.31
Mn  0.5025  0.4990  0.3329  3.31
Mn  0.0025  0.9990  0.1671  3.31
Mn  0.5000  0.0000  0.0000  3.31
Mn  0.4975  0.5010  0.6671  3.31
Mn  0.0000  0.0000  0.5000  3.31
Mn  0.9975  0.0010  0.8329  3.31
Mn  0.5000  0.5000  0.0000  3.31
Mn  0.9975  0.4990  0.8329  3.31
Nd  0.5065  0.2500  0.5117  0.03
Nd  0.5125  0.2500  0.1814  0.02
Nd  0.0065  0.7500  0.9883  0.03
Nd  0.4935  0.7500  0.4883  0.03
Nd  0.9935  0.2500  0.0117  0.03
Nd  0.0125  0.7500  0.3186  0.02
Nd  0.9875  0.2500  0.6814  0.02
Nd  0.4875  0.7500  0.8186  0.02
Ca  0.5084  0.2500  0.8479  0.01
Ca  0.4916  0.7500  0.1521  0.01
Ca  0.0084  0.7500  0.6521  0.01
Ca  0.9916  0.2500  0.3479  0.01



Record 6
CaMn2Ni | PBEsol | optimized geometry

Calculated formation energy = 269.3 meV per atom
Total energy = -0.4913 Ry per atom
DOS at the Fermi energy = 2.9 states/eV/cell

a = 3.9347 Å, b = 3.9347 Å, c = 5.7321 Å
α = 69.93°, β = 69.93°, γ = 60.00°
Each line ends with the local moment (μB).
Positions (direct):
Mn  0.2747  0.2747  0.1759  2.56
Mn  0.9488  0.9488  0.1535  -2.60
Ni  0.5529  0.5529  0.3414  0.10
Ca  0.7589  0.7589  0.7234  -0.01



The records above give, respectively, total magnetization values of 5.03 6.69 41.92 12.92 43.87 0.02 μB per cell.